MgNiCl: relaxed, PBE.

abc: 3.212 3.212 5.653
angles: 90.00 90.00 120.00
Fractional positions:
1 Mg 0.000 0.000 0.000
2 Ni 0.667 0.333 0.324
3 Cl 0.333 0.667 0.683

Calculated values
symmetry = P3m1
uncorrected formation energy = -0.2910 eV per atom

Cr2W: relaxed, PBE.

abc: 5.773 5.773 5.773
angles: 90.00 90.00 90.00
Fractional positions:
1 Cr 0.117 0.117 0.117
2 Cr 0.117 0.383 0.617
3 Cr 0.383 0.617 0.117
4 Cr 0.383 0.883 0.617
5 Cr 0.617 0.117 0.383
6 Cr 0.617 0.383 0.883
7 Cr 0.883 0.617 0.383
8 Cr 0.883 0.883 0.883
9 W 0.000 0.000 0.500
10 W 0.000 0.500 0.000
11 W 0.500 0.000 0.000
12 W 0.500 0.500 0.500

Calculated values
symmetry = Pa-3
ΔH_f (0 K) = 1.52 eV per atom

La12Tb3Sc: relaxed, PBE.

abc: 5.184 5.184 20.751
angles: 90.00 90.00 90.00
Fractional positions:
1 La 0.000 0.000 0.000
2 La 0.000 0.000 0.248
3 La 0.000 0.000 0.500
4 La 0.000 0.000 0.752
5 La 0.000 0.500 0.122
6 La 0.000 0.500 0.374
7 La 0.000 0.500 0.626
8 La 0.000 0.500 0.878
9 La 0.500 0.000 0.122
10 La 0.500 0.000 0.374
11 La 0.500 0.000 0.626
12 La 0.500 0.000 0.878
13 Tb 0.500 0.500 0.247
14 Tb 0.500 0.500 0.500
15 Tb 0.500 0.500 0.753
16 Sc 0.500 0.500 0.000

Calculated values
symmetry = P4/mmm
ΔH_f (0 K) = 0.01 eV per atom

MoAs4P: relaxed, PBE.

abc: 5.413 5.413 5.413
angles: 60.00 60.00 60.00
Fractional positions:
1 Mo 0.000 0.000 0.000
2 As 0.128 0.624 0.624
3 As 0.624 0.128 0.624
4 As 0.624 0.624 0.128
5 As 0.624 0.624 0.624
6 P 0.250 0.250 0.250

Calculated values
symmetry = F-43m
ΔH_f (0 K) = 0.93 eV per atom

ScInP: relaxed, PBE.

abc: 3.900 3.900 5.329
angles: 90.00 90.00 120.00
Fractional positions:
1 Sc 0.000 0.000 0.000
2 In 0.333 0.667 0.448
3 P 0.667 0.333 0.785

Calculated values
symmetry = P3m1
ΔH_f (0 K) = -0.48 eV per atom

LiTc2N: relaxed, PBE.

abc: 8.274 8.274 8.274
angles: 18.98 18.98 18.98
Fractional positions:
1 Li 0.000 0.000 0.000
2 Tc 0.107 0.107 0.107
3 Tc 0.893 0.893 0.893
4 N 0.500 0.500 0.500

Calculated values
symmetry = R-3m
uncorrected formation energy = 0.4012 eV per atom

Cu2B2C: relaxed, PBE.

abc: 3.808 3.808 5.211
angles: 110.92 110.92 89.38
Fractional positions:
1 Cu 0.248 0.752 0.000
2 Cu 0.752 0.248 0.000
3 B 0.341 0.341 0.185
4 B 0.659 0.659 0.815
5 C 0.500 0.500 0.500

Calculated values
symmetry = C2/m
ΔH_f (0 K) = 0.65 eV per atom

CaBeBr2: relaxed, PBE.

abc: 9.536 9.536 9.536
angles: 22.13 22.13 22.13
Fractional positions:
1 Ca 0.000 0.000 0.000
2 Be 0.500 0.500 0.500
3 Br 0.118 0.118 0.118
4 Br 0.882 0.882 0.882

Calculated values
symmetry = R-3m
uncorrected formation energy = -0.3615 eV per atom

| no. | VASP energy (eV per formula unit) | DOS(E_F) (states/eV per cell) | size of the total moment (μB/cell) |
| --- | --- | --- | --- |
| 1 | -10.1 | 1.64 | 0.00 |
| 2 | -27.6 | 18.26 | 0.01 |
| 3 | -79.1 | 21.76 | 0.00 |
| 4 | -29.3 | 6.70 | 1.73 |
| 5 | -15.9 | 1.73 | 0.00 |
| 6 | -29.4 | 3.68 | 0.38 |
| 7 | -27.5 | 1.23 | 0.00 |
| 8 | -10.5 | 2.03 | 0.00 |